Entry 1:
{"formula": "Mg2Si2NiPt5", "functional": "PBE-GGA", "state": "relaxed", "lattice": [[9.306, 0.000, 0.000], [0.000, 9.306, 0.000], [0.000, 0.000, 3.556]], "species": ["Mg", "Mg", "Mg", "Mg", "Si", "Si", "Si", "Si", "Ni", "Ni", "Pt", "Pt", "Pt", "Pt", "Pt", "Pt", "Pt", "Pt", "Pt", "Pt"], "fractional_positions": [[0.171, 0.329, 0.000], [0.329, 0.829, 0.000], [0.671, 0.171, 0.000], [0.829, 0.671, 0.000], [0.132, 0.632, 0.000], [0.368, 0.132, 0.000], [0.632, 0.868, 0.000], [0.868, 0.368, 0.000], [0.000, 0.000, 0.000], [0.500, 0.500, 0.000], [0.000, 0.500, 0.500], [0.073, 0.799, 0.500], [0.201, 0.073, 0.500], [0.299, 0.573, 0.500], [0.427, 0.299, 0.500], [0.500, 0.000, 0.500], [0.573, 0.701, 0.500], [0.701, 0.427, 0.500], [0.799, 0.927, 0.500], [0.927, 0.201, 0.500]], "formation_energy_uncorrected_kj_per_mol_atoms": -61.2, "crystal_system": "tetragonal", "space_group": "P4/mbm, No. 127"}

***

Entry 2:
{"formula": "MnGe2Ir", "functional": "PBE-GGA", "state": "relaxed", "lattice": [[6.112, -1.965, 0.000], [6.112, 1.965, 0.000], [-1.240, 0.000, 5.227]], "species": ["Mn", "Mn", "Ge", "Ge", "Ge", "Ge", "Ir", "Ir"], "fractional_positions": [[0.000, 0.000, 0.000], [0.585, 0.585, 0.296], [0.215, 0.215, 0.359], [0.371, 0.371, 0.954], [0.608, 0.608, 0.829], [0.987, 0.987, 0.514], [0.784, 0.784, 0.669], [0.809, 0.809, 0.186]], "formation_enthalpy_0k_ev_per_atom": -0.110, "crystal_system": "monoclinic", "space_group": "Cm, No. 8"}

***

Entry 3:
{"formula": "SrCrNi", "functional": "PBE-GGA", "state": "relaxed", "lattice": [[0.000, 3.328, 3.328], [3.328, 0.000, 3.328], [3.328, 3.328, 0.000]], "species": ["Sr", "Cr", "Ni"], "fractional_positions": [[0.000, 0.000, 0.000], [0.750, 0.750, 0.750], [0.500, 0.500, 0.500]], "formation_enthalpy_0k_ev_per_atom": 0.955, "e_above_lowest_polymorph_ev_per_atom": 0.634, "crystal_system": "cubic", "space_group": "F-43m, No. 216"}

***

Entry 4:
{"formula": "Li3In6Pb2", "functional": "PBE-GGA", "state": "relaxed", "lattice": [[5.980, 0.000, 0.000], [-1.454, 7.063, 0.000], [-1.577, -3.614, 6.391]], "species": ["Li", "Li", "Li", "In", "In", "In", "In", "In", "In", "Pb", "Pb"], "fractional_positions": [[0.000, 0.000, 0.000], [0.152, 0.623, 0.883], [0.848, 0.377, 0.117], [0.160, 0.845, 0.321], [0.346, 0.416, 0.103], [0.402, 0.961, 0.776], [0.598, 0.039, 0.224], [0.654, 0.584, 0.897], [0.840, 0.155, 0.679], [0.195, 0.351, 0.467], [0.805, 0.649, 0.533]], "formation_enthalpy_0k_ev_per_atom": -0.116, "crystal_system": "triclinic", "space_group": "P-1, No. 2"}

***

Entry 5:
{"formula": "Re4Pb5", "functional": "PBE-GGA", "state": "relaxed", "lattice": [[8.319, 0.000, 0.000], [-4.159, 7.204, 0.000], [0.000, 0.000, 6.238]], "species": ["Re", "Re", "Re", "Re", "Re", "Re", "Re", "Re", "Pb", "Pb", "Pb", "Pb", "Pb", "Pb", "Pb", "Pb", "Pb", "Pb"], "fractional_positions": [[0.000, 0.000, 0.000], [0.000, 0.000, 0.500], [0.000, 0.384, 0.250], [0.000, 0.616, 0.750], [0.384, 0.000, 0.250], [0.384, 0.384, 0.750], [0.616, 0.000, 0.750], [0.616, 0.616, 0.250], [0.000, 0.283, 0.750], [0.000, 0.717, 0.250], [0.283, 0.000, 0.750], [0.283, 0.283, 0.250], [0.333, 0.667, 0.000], [0.333, 0.667, 0.500], [0.667, 0.333, 0.000], [0.667, 0.333, 0.500], [0.717, 0.000, 0.250], [0.717, 0.717, 0.750]], "formation_enthalpy_0k_ev_per_atom": 1.381, "e_above_lowest_polymorph_ev_per_atom": 0.538, "crystal_system": "hexagonal", "space_group": "P6_3/mcm, No. 193"}

***

Entry 6:
{"formula": "TaTiGe2", "functional": "PBE-GGA", "state": "relaxed", "lattice": [[-2.935, 2.935, 5.793], [2.935, -2.935, 5.793], [2.935, 2.935, -5.793]], "species": ["Ta", "Ta", "Ti", "Ti", "Ge", "Ge", "Ge", "Ge"], "fractional_positions": [[0.000, 0.000, 0.000], [0.750, 0.250, 0.500], [0.250, 0.750, 0.500], [0.500, 0.500, 0.000], [0.124, 0.625, 0.999], [0.375, 0.374, 0.499], [0.626, 0.125, 0.001], [0.875, 0.876, 0.501]], "formation_enthalpy_0k_ev_per_atom": 0.692, "e_above_lowest_polymorph_ev_per_atom": 0.912, "crystal_system": "tetragonal", "space_group": "I-42d, No. 122"}

***

Entry 7:
{"formula": "LaAs3I", "functional": "PBE-GGA", "state": "relaxed", "lattice": [[5.767, 0.000, 0.000], [0.000, 5.767, 0.000], [0.000, 0.000, 5.767]], "species": ["La", "As", "As", "As", "I"], "fractional_positions": [[0.000, 0.000, 0.000], [0.000, 0.000, 0.500], [0.000, 0.500, 0.000], [0.500, 0.000, 0.000], [0.500, 0.500, 0.500]], "e_above_lowest_polymorph_ev_per_atom": 0.261, "formation_energy_uncorrected_kj_per_mol_atoms": 60.9, "crystal_system": "cubic", "space_group": "Pm-3m, No. 221"}

***

Entry 8:
{"formula": "Pm12Tm3Tl", "functional": "PBE-GGA", "state": "relaxed", "lattice": [[5.049, 0.000, 0.000], [0.000, 5.049, 0.000], [0.000, 0.000, 20.480]], "species": ["Pm", "Pm", "Pm", "Pm", "Pm", "Pm", "Pm", "Pm", "Pm", "Pm", "Pm", "Pm", "Tm", "Tm", "Tm", "Tl"], "fractional_positions": [[0.000, 0.000, 0.000], [0.000, 0.000, 0.247], [0.000, 0.000, 0.500], [0.000, 0.000, 0.753], [0.000, 0.500, 0.122], [0.000, 0.500, 0.374], [0.000, 0.500, 0.626], [0.000, 0.500, 0.878], [0.500, 0.000, 0.122], [0.500, 0.000, 0.374], [0.500, 0.000, 0.626], [0.500, 0.000, 0.878], [0.500, 0.500, 0.249], [0.500, 0.500, 0.500], [0.500, 0.500, 0.751], [0.500, 0.500, 0.000]], "formation_enthalpy_0k_ev_per_atom": -0.032, "crystal_system": "tetragonal", "space_group": "P4/mmm, No. 123"}